{
  "formula": "Y2AsI",
  "functional": "PBE",
  "state": "relaxed",
  "volume_a3_per_cell": 101.0,
  "magnetic_moment_mub_per_cell": 1.20,
  "formation_energy_uncorrected_ev_per_atom": -0.888,
  "n_ef_per_ev_cell": 2.41,
  "cell": [[0.0000, 3.6965, 3.6965], [3.6965, 0.0000, 3.6965], [3.6965, 3.6965, 0.0000]],
  "species": ["I", "Y", "Y", "As"],
  "fractional_positions": [[0.5000, 0.5000, 0.5000], [0.7500, 0.7500, 0.7500], [0.2500, 0.2500, 0.2500], [0.0000, 0.0000, 0.0000]]
}